Model a:
The following is a DFT calculation (PBE) of a geometry-optimized SrAl3Re structure.

Values from the calculation:
- Symmetry: Pm-3m
- Crystal system: cubic
- N(E_F): 0.92 states/eV/cell

Lattice parameters (Å, degrees): 4.8715 4.8715 4.8715 90.00 90.00 90.00
Sites, in units of the cell vectors:
Sr  0.0000  0.0000  0.0000
Al  0.0000  0.5000  0.5000
Al  0.5000  0.0000  0.5000
Al  0.5000  0.5000  0.0000
Re  0.5000  0.5000  0.5000

---

Model b:
The following is a DFT calculation (PBE) of a geometry-optimized SrAl3Re structure.

Values from the calculation:
- Symmetry: Pm-3m
- Crystal system: cubic
- N(E_F): 10.46 states/eV/cell

Lattice parameters (Å, degrees): 5.1722 5.1722 5.1722 90.00 90.00 90.00
Sites, in units of the cell vectors:
Sr  0.0000  0.0000  0.0000
Al  0.0000  0.0000  0.5000
Al  0.0000  0.5000  0.0000
Al  0.5000  0.0000  0.0000
Re  0.5000  0.5000  0.5000

---

Pick model a: it beats the second-best structure by 2890 meV per atom.

---

Model a:
The following is a DFT calculation (PBE) of a geometry-optimized TaAl2Re structure.

Values from the calculation:
- Symmetry: Pmmm
- Crystal system: orthorhombic
- N(E_F): 2.72 states/eV/cell

Lattice parameters (Å, degrees): 2.7793 4.0953 5.5178 90.00 90.00 90.00
Sites, in units of the cell vectors:
Ta  0.0000  0.0000  0.0000
Al  0.5000  0.5000  0.2607
Al  0.5000  0.5000  0.7393
Re  0.0000  0.0000  0.5000

---

Model b:
The following is a DFT calculation (PBE) of a geometry-optimized TaAl2Re structure.

Values from the calculation:
- Symmetry: P4/mmm
- Crystal system: tetragonal
- N(E_F): 4.34 states/eV/cell

Lattice parameters (Å, degrees): 2.9145 2.9145 7.3611 90.00 90.00 90.00
Sites, in units of the cell vectors:
Ta  0.0000  0.0000  0.0000
Al  0.5000  0.5000  0.2727
Al  0.5000  0.5000  0.7273
Re  0.0000  0.0000  0.5000

---

Pick model a: it beats the second-best structure by 9 meV per atom.

---

Model a:
The following is a DFT calculation (PBE) of a geometry-optimized TaAl2Re structure.

Values from the calculation:
- Symmetry: Fm-3m
- Crystal system: cubic
- N(E_F): 4.26 states/eV/cell

Lattice parameters (Å, degrees): 4.4386 4.4386 4.4386 60.00 60.00 60.00
Sites, in units of the cell vectors:
Ta  0.0000  0.0000  0.0000
Al  0.2500  0.2500  0.2500
Al  0.7500  0.7500  0.7500
Re  0.5000  0.5000  0.5000

---

Model b:
The following is a DFT calculation (PBE) of a geometry-optimized TaAl2Re structure.

Values from the calculation:
- Symmetry: Cmmm
- Crystal system: orthorhombic
- N(E_F): 3.00 states/eV/cell

Lattice parameters (Å, degrees): 2.7742 2.7742 8.5989 90.00 90.00 107.87
Sites, in units of the cell vectors:
Ta  0.0000  0.0000  0.0000
Al  0.5000  0.5000  0.2605
Al  0.5000  0.5000  0.7395
Re  0.0000  0.0000  0.5000

---

Model c:
The following is a DFT calculation (PBE) of a geometry-optimized TaAl2Re structure.

Values from the calculation:
- Symmetry: Pm
- Crystal system: monoclinic
- N(E_F): 2.13 states/eV/cell

Lattice parameters (Å, degrees): 2.7772 4.4488 5.1037 90.00 98.15 90.00
Sites, in units of the cell vectors:
Ta  0.0000  0.0000  0.0000
Al  0.5401  0.0000  0.5036
Al  0.5932  0.5000  0.2322
Re  0.1881  0.5000  0.7225

---

Pick model c: it beats the second-best structure by 105 meV per atom.

---

Model a:
The following is a DFT calculation (PBE) of a geometry-optimized TaAlRe structure.

Values from the calculation:
- Symmetry: I4mm
- Crystal system: tetragonal
- N(E_F): 3.51 states/eV/cell

Lattice parameters (Å, degrees): 6.4298 6.4298 6.4298 154.85 154.85 35.86
Sites, in units of the cell vectors:
Ta  0.0000  0.0000  0.0000
Al  0.3296  0.3296  0.0000
Re  0.6782  0.6782  0.0000

---

Model b:
The following is a DFT calculation (PBE) of a geometry-optimized TaAlRe structure.

Values from the calculation:
- Symmetry: Fmm2
- Crystal system: orthorhombic
- N(E_F): 2.21 states/eV/cell

Lattice parameters (Å, degrees): 6.9669 6.7657 2.7965 82.32 74.24 23.44
Sites, in units of the cell vectors:
Ta  0.0000  0.0000  0.0000
Al  0.6733  0.6733  0.3267
Re  0.3330  0.3330  0.6670

---

Model c:
The following is a DFT calculation (PBE) of a geometry-optimized TaAlRe structure.

Values from the calculation:
- Symmetry: F-43m
- Crystal system: cubic
- N(E_F): 2.29 states/eV/cell

Lattice parameters (Å, degrees): 4.3529 4.3529 4.3529 60.00 60.00 60.00
Sites, in units of the cell vectors:
Ta  0.0000  0.0000  0.0000
Al  0.2500  0.2500  0.2500
Re  0.7500  0.7500  0.7500

---

Model d:
The following is a DFT calculation (PBE) of a geometry-optimized TaAlRe structure.

Values from the calculation:
- Symmetry: Imm2
- Crystal system: orthorhombic
- N(E_F): 2.32 states/eV/cell

Lattice parameters (Å, degrees): 4.8681 4.8681 4.8681 146.99 129.17 61.95
Sites, in units of the cell vectors:
Ta  0.0000  0.0000  0.0000
Al  0.3300  0.3300  0.0000
Re  0.6743  0.6743  0.0000

---

Pick model b: it beats the second-best structure by 23 meV per atom.